# 1
# Na2PrScO4

A relaxed Na2PrScO4 crystal (PBE, Alexandria).

a = 5.921 Å, b = 3.416 Å, c = 5.922 Å
α = 90.00°, β = 109.70°, γ = 90.00°
Positions (direct):
Na1 0.000 0.000 0.000
Na2 0.000 0.500 0.500
Pr1 0.500 0.000 0.500
Sc1 0.500 0.500 0.000
O1 0.289 0.500 0.234
O2 0.292 0.000 0.783
O3 0.708 0.000 0.217
O4 0.711 0.500 0.766

* energy relative to the elements, uncorrected: -2037 kJ/mol of formula units
* total magnetic moment: 0.0 μB per formula unit
* total energy: -54.7 eV for the cell shown
* D(E_F): 0.0 states/eV/f.u.

# 2
# NaPr2SeO5

A relaxed NaPr2SeO5 crystal (PBE, Alexandria).

a = 7.800 Å, b = 7.800 Å, c = 7.800 Å
α = 127.54°, β = 127.54°, γ = 77.37°
Positions (direct):
Na1 0.250 0.250 0.000
Na2 0.750 0.750 0.000
Pr1 0.176 0.676 0.851
Pr2 0.324 0.176 0.500
Pr3 0.676 0.824 0.500
Pr4 0.824 0.324 0.149
Se1 0.250 0.750 0.500
Se2 0.750 0.250 0.500
O1 0.000 0.000 0.000
O2 0.014 0.244 0.500
O3 0.244 0.744 0.230
O4 0.256 0.486 0.500
O5 0.486 0.986 0.230
O6 0.500 0.500 0.000
O7 0.514 0.014 0.770
O8 0.744 0.514 0.500
O9 0.756 0.256 0.770
O10 0.986 0.756 0.500

* energy relative to the elements, uncorrected: -1710 kJ/mol of formula units
* total magnetic moment: 0.9 μB per formula unit
* total energy: -113.8 eV for the cell shown
* D(E_F): 2.6 states/eV/f.u.

# 3
# Na2PrSe2O6

A relaxed Na2PrSe2O6 crystal (PBE, Alexandria).

a = 5.161 Å, b = 5.161 Å, c = 7.130 Å
α = 109.83°, β = 109.83°, γ = 68.54°
Positions (direct):
Na1 0.196 0.196 0.113
Na2 0.804 0.804 0.887
Pr1 0.000 0.000 0.500
Se1 0.410 0.410 0.765
Se2 0.590 0.590 0.235
O1 0.210 0.694 0.204
O2 0.298 0.298 0.498
O3 0.306 0.790 0.796
O4 0.694 0.210 0.204
O5 0.702 0.702 0.502
O6 0.790 0.306 0.796

* energy relative to the elements, uncorrected: -1604 kJ/mol of formula units
* total magnetic moment: 0.0 μB per formula unit
* total energy: -60.8 eV for the cell shown
* D(E_F): 2.7 states/eV/f.u.

# 4
# Na2PrSeO4

A relaxed Na2PrSeO4 crystal (PBE, Alexandria).

a = 5.350 Å, b = 5.350 Å, c = 5.350 Å
α = 111.86°, β = 111.86°, γ = 104.80°
Positions (direct):
Na1 0.000 0.000 0.000
Na2 0.750 0.250 0.500
Pr1 0.500 0.500 0.000
Se1 0.250 0.750 0.500
O1 0.066 0.035 0.580
O2 0.455 0.486 0.420
O3 0.514 0.934 0.969
O4 0.965 0.545 0.031

* energy relative to the elements, uncorrected: -1272 kJ/mol of formula units
* total magnetic moment: 0.9 μB per formula unit
* total energy: -43.9 eV for the cell shown
* D(E_F): 2.8 states/eV/f.u.

# 5
# NaSrPrSeO6

A relaxed NaSrPrSeO6 crystal (PBE, Alexandria).

a = 5.836 Å, b = 5.836 Å, c = 5.836 Å
α = 60.00°, β = 60.00°, γ = 60.00°
Positions (direct):
Na1 0.000 0.000 0.000
Sr1 0.500 0.500 0.500
Pr1 0.250 0.250 0.250
Se1 0.750 0.750 0.750
O1 0.529 0.529 0.971
O2 0.529 0.971 0.529
O3 0.529 0.971 0.971
O4 0.971 0.529 0.529
O5 0.971 0.529 0.971
O6 0.971 0.971 0.529

* energy relative to the elements, uncorrected: -1855 kJ/mol of formula units
* total magnetic moment: 0.0 μB per formula unit
* total energy: -60.2 eV for the cell shown
* D(E_F): 0.0 states/eV/f.u.

# 6
# NaPrSiO4

A relaxed NaPrSiO4 crystal (PBE, Alexandria).

a = 6.057 Å, b = 5.548 Å, c = 6.963 Å
α = 90.00°, β = 94.12°, γ = 90.00°
Positions (direct):
Na1 0.078 0.250 0.144
Na2 0.922 0.750 0.856
Pr1 0.305 0.250 0.589
Pr2 0.695 0.750 0.411
Si1 0.186 0.750 0.340
Si2 0.814 0.250 0.660
O1 0.029 0.250 0.818
O2 0.092 0.750 0.558
O3 0.352 0.516 0.322
O4 0.352 0.984 0.322
O5 0.648 0.016 0.678
O6 0.648 0.484 0.678
O7 0.908 0.250 0.442
O8 0.971 0.750 0.182

* energy relative to the elements, uncorrected: -1899 kJ/mol of formula units
* total magnetic moment: 0.0 μB per formula unit
* total energy: -102.1 eV for the cell shown
* D(E_F): 0.0 states/eV/f.u.

# 7
# NaPrSi6O14

A relaxed NaPrSi6O14 crystal (PBE, Alexandria).

a = 13.270 Å, b = 13.270 Å, c = 13.270 Å
α = 145.94°, β = 107.78°, γ = 82.31°
Positions (direct):
Na1 0.000 0.000 0.000
Na2 0.250 0.750 0.500
Na3 0.500 0.500 0.000
Na4 0.750 0.250 0.500
Pr1 0.021 0.750 0.271
Pr2 0.479 0.750 0.729
Pr3 0.521 0.250 0.271
Pr4 0.979 0.250 0.729
Si1 0.027 0.996 0.730
Si2 0.068 0.385 0.160
Si3 0.134 0.677 0.811
Si4 0.167 0.268 0.435
Si5 0.224 0.908 0.840
Si6 0.234 0.504 0.031
Si7 0.266 0.297 0.270
Si8 0.276 0.115 0.683
Si9 0.333 0.768 0.102
Si10 0.366 0.177 0.543
Si11 0.432 0.592 0.317
Si12 0.473 0.203 0.969
Si13 0.527 0.797 0.031
Si14 0.568 0.408 0.683
Si15 0.634 0.823 0.457
Si16 0.667 0.232 0.898
Si17 0.724 0.885 0.317
Si18 0.734 0.703 0.730
Si19 0.766 0.496 0.969
Si20 0.776 0.092 0.160
Si21 0.833 0.732 0.565
Si22 0.866 0.323 0.189
Si23 0.932 0.615 0.840
Si24 0.973 0.004 0.270
O1 0.007 0.050 0.433
O2 0.017 0.690 0.832
O3 0.036 0.223 0.928
O4 0.061 0.104 0.293
O5 0.066 0.585 0.287
O6 0.116 0.550 0.043
O7 0.138 0.469 0.607
O8 0.143 0.816 0.832
O9 0.144 0.955 0.765
O10 0.190 0.232 0.293
O11 0.190 0.379 0.235
O12 0.202 0.915 0.481
O13 0.205 0.277 0.813
O14 0.230 0.758 0.988
O15 0.270 0.258 0.528
O16 0.295 0.108 0.072
O17 0.298 0.779 0.713
O18 0.310 0.545 0.189
O19 0.310 0.604 0.042
O20 0.356 0.121 0.811
O21 0.357 0.190 0.673
O22 0.362 0.969 0.331
O23 0.384 0.426 0.433
O24 0.434 0.721 0.519
O25 0.439 0.732 0.042
O26 0.464 0.392 0.187
O27 0.483 0.316 0.673
O28 0.493 0.926 0.043
O29 0.507 0.074 0.957
O30 0.517 0.684 0.327
O31 0.536 0.608 0.813
O32 0.561 0.268 0.958
O33 0.566 0.279 0.481
O34 0.616 0.574 0.567
O35 0.638 0.031 0.669
O36 0.643 0.810 0.327
O37 0.644 0.879 0.189
O38 0.690 0.396 0.958
O39 0.690 0.455 0.811
O40 0.702 0.221 0.287
O41 0.705 0.892 0.928
O42 0.730 0.742 0.472
O43 0.770 0.242 0.012
O44 0.795 0.723 0.187
O45 0.798 0.085 0.519
O46 0.810 0.621 0.765
O47 0.810 0.768 0.707
O48 0.856 0.045 0.235
O49 0.857 0.184 0.168
O50 0.862 0.531 0.393
O51 0.884 0.450 0.957
O52 0.934 0.415 0.713
O53 0.939 0.896 0.707
O54 0.964 0.777 0.072
O55 0.983 0.310 0.168
O56 0.993 0.950 0.567

* energy relative to the elements, uncorrected: -6022 kJ/mol of formula units
* total magnetic moment: 0.0 μB per formula unit
* total energy: -681.9 eV for the cell shown
* D(E_F): 0.0 states/eV/f.u.